Computed, not measured: a geometry-optimized TmAsRh2 structure at the PBE level of DFT.

a b c (Å): 4.2698 5.7128 5.8381
angles (deg): 90.00 90.00 90.00
Space group Pmmn (No. 59, origin choice 2)
Unique sites:
Tm  0.2500  0.2500  0.1196 [2 per cell]
As  0.2500  0.7500  0.3099 [2 per cell]
Rh  0.2500  0.0117  0.6575 [4 per cell]

Values from the calculation:
**Energy**: -6.754 eV/atom
**Energy of formation**: -0.798 eV/atom
**Density**: 10.49 Mg/m³
**Calculated volume**: 17.801 Å³/atom
**Magnetization**: 0.00 μB/f.u.